[1]
Compound: SrSe
Source: the Alexandria database
Functional: GGA-PBE
Structure: relaxed

abc: 5.414 5.414 3.853
angles: 90.00 90.00 90.00
Sites, in units of the cell vectors:
Se 0.250 0.250 0.446
Se 0.750 0.750 0.554
Sr 0.250 0.750 0.000
Sr 0.750 0.250 0.000

Formation energy (no corrections), meV per atom: -1801
Magnetization, Bohr magnetons per cell: 0.0
SG: No. 129
Electronic total energy, Ha/atom: -0.16111

***

[2]
Compound: SrSe2
Source: the Alexandria database
Functional: GGA-PBE
Structure: relaxed

abc: 5.403 5.403 3.214
angles: 90.00 90.00 90.00
Sites, in units of the cell vectors:
Se 0.000 0.500 0.500
Se 0.500 0.000 0.500
Sr 0.000 0.000 0.000

Formation energy (no corrections), meV per atom: -803
Magnetization, Bohr magnetons per cell: 0.0
SG: No. 123
Electronic total energy, Ha/atom: -0.13548

***

[3]
Compound: SrSe2
Source: the Alexandria database
Functional: GGA-PBE
Structure: relaxed

abc: 5.491 5.491 6.084
angles: 90.00 90.00 120.00
Sites, in units of the cell vectors:
Sr 0.333 0.667 0.250
Sr 0.667 0.333 0.750
Se 0.000 0.000 0.000
Se 0.000 0.000 0.500
Se 0.333 0.667 0.750
Se 0.667 0.333 0.250

Formation energy (no corrections), meV per atom: -998
Magnetization, Bohr magnetons per cell: 0.0
SG: No. 194
Electronic total energy, Ha/atom: -0.14266

***

[4]
Compound: Sr3Se2
Source: the Alexandria database
Functional: GGA-PBE
Structure: relaxed

abc: 4.407 4.407 10.868
angles: 90.00 90.00 120.00
Sites, in units of the cell vectors:
Se 0.667 0.333 0.170
Se 0.333 0.667 0.830
Sr 0.000 0.000 0.000
Sr 0.667 0.333 0.662
Sr 0.333 0.667 0.338

Formation energy (no corrections), meV per atom: -1600
Magnetization, Bohr magnetons per cell: 0.0
SG: No. 164
Electronic total energy, Ha/atom: -0.14709

***

- magnetization of number 3 (SrSe2)?
  0.0 Bohr magnetons per cell